# GaNi7, relaxed, DFT GGA-PBE
data_GaNi7
_chemical_formula_sum 'Ga2 Ni14'
_space_group_name_H-M_alt 'P 1'
_space_group_IT_number 1
_space_group_name_Hall 'P 1'
_cell_length_a 2.508
_cell_length_b 3.509
_cell_length_c 33.647
_cell_angle_alpha 90.00
_cell_angle_beta 90.00
_cell_angle_gamma 90.00
loop_
_atom_site_label
_atom_site_type_symbol
_atom_site_fract_x
_atom_site_fract_y
_atom_site_fract_z
Ni1 Ni 0.500 0.500 0.334
Ni2 Ni 0.500 0.500 0.702
Ni3 Ni 0.000 0.000 0.298
Ni4 Ni 0.500 0.500 0.482
Ni5 Ni 0.000 0.000 0.666
Ni6 Ni 0.500 0.500 0.408
Ni7 Ni 0.500 0.500 0.258
Ni8 Ni 0.000 0.000 0.518
Ni9 Ni 0.000 0.000 0.742
Ni10 Ni 0.000 0.000 0.371
Ni11 Ni 0.500 0.500 0.555
Ni12 Ni 0.500 0.500 0.629
Ni13 Ni 0.000 0.000 0.592
Ni14 Ni 0.000 0.000 0.445
Ga1 Ga 0.500 0.500 0.778
Ga2 Ga 0.000 0.000 0.222
# **ρ**: 5391 kg/m3
# **Excess energy over the best structure of this formula in the dataset**: 0.000 eV/atom
# **V**: 18.502 Å³/atom